# 1
# Cs4Cd2S | Alexandria via LeMat-Bulk | PBE | optimized geometry
# Raw formation energy   -2.3 eV/f.u.
# Crystal system   tetragonal
data_Cs4Cd2S
_symmetry_space_group_name_H-M 'I 4/m m m'
_symmetry_Int_Tables_number 139
_symmetry_space_group_name_Hall '-I 4 2'
_cell_length_a 7.0971
_cell_length_b 7.0971
_cell_length_c 17.9443
_cell_angle_alpha 90.00
_cell_angle_beta 90.00
_cell_angle_gamma 90.00
loop_
_atom_site_label
_atom_site_type_symbol
_atom_site_fract_x
_atom_site_fract_y
_atom_site_fract_z
_atom_site_occupancy
Cs1 Cs 0.0000 0.0000 0.1799 1
Cs2 Cs 0.0000 0.5000 0.0000 1
Cd1 Cd 0.0000 0.0000 0.4103 1
S1 S 0.0000 0.0000 0.0000 1

***

# 2
# Ce6MgHg5 | Alexandria via LeMat-Bulk | PBE | optimized geometry
# Crystal system   monoclinic
# Formation enthalpy at 0 K   -0.2518 eV per atom
data_Ce6MgHg5
_symmetry_space_group_name_H-M 'C 1 2/m 1'
_symmetry_Int_Tables_number 12
_symmetry_space_group_name_Hall '-C 2y'
_cell_length_a 16.2366
_cell_length_b 6.6405
_cell_length_c 5.7918
_cell_angle_alpha 90.00
_cell_angle_beta 90.72
_cell_angle_gamma 90.00
loop_
_atom_site_label
_atom_site_type_symbol
_atom_site_fract_x
_atom_site_fract_y
_atom_site_fract_z
_atom_site_occupancy
Ce1 Ce 0.0000 0.2196 0.0000 1
Ce2 Ce 0.1693 0.2356 0.3217 1
Mg1 Mg 0.0000 0.5000 0.5000 1
Hg1 Hg 0.0000 0.0000 0.5000 1
Hg2 Hg 0.1552 0.5000 0.8157 1
Hg3 Hg 0.1702 0.0000 0.8232 1

***

# 3
# BaP3Ir | Alexandria via LeMat-Bulk | PBE | optimized geometry
# Crystal system   cubic
# Formation enthalpy at 0 K   0.0003 eV per atom
# Relative energy among the computed polymorphs   0 meV/atom
data_BaP3Ir
_symmetry_space_group_name_H-M 'P m -3 m'
_symmetry_Int_Tables_number 221
_symmetry_space_group_name_Hall '-P 4 2 3'
_cell_length_a 4.8237
_cell_length_b 4.8237
_cell_length_c 4.8237
_cell_angle_alpha 90.00
_cell_angle_beta 90.00
_cell_angle_gamma 90.00
loop_
_atom_site_label
_atom_site_type_symbol
_atom_site_fract_x
_atom_site_fract_y
_atom_site_fract_z
_atom_site_occupancy
Ba1 Ba 0.0000 0.0000 0.0000 1
P1 P 0.0000 0.5000 0.5000 1
Ir1 Ir 0.5000 0.5000 0.5000 1

***

# 4
# KSb2OsI | Alexandria via LeMat-Bulk | PBE | optimized geometry
# Raw formation energy   0.7 eV/f.u.
# Crystal system   tetragonal
# Relative energy among the computed polymorphs   0 meV/atom
data_KSb2OsI
_symmetry_space_group_name_H-M 'P 4/m m m'
_symmetry_Int_Tables_number 123
_symmetry_space_group_name_Hall '-P 4 2'
_cell_length_a 5.1020
_cell_length_b 5.1020
_cell_length_c 6.3159
_cell_angle_alpha 90.00
_cell_angle_beta 90.00
_cell_angle_gamma 90.00
loop_
_atom_site_label
_atom_site_type_symbol
_atom_site_fract_x
_atom_site_fract_y
_atom_site_fract_z
_atom_site_occupancy
K1 K 0.0000 0.0000 0.0000 1
Sb1 Sb 0.0000 0.5000 0.5000 1
Os1 Os 0.5000 0.5000 0.5000 1
I1 I 0.5000 0.5000 0.0000 1

***

# 5
# Sm3HfO | Alexandria via LeMat-Bulk | PBE | optimized geometry
# Raw formation energy   -5.1 eV/f.u.
# Crystal system   cubic
data_Sm3HfO
_symmetry_space_group_name_H-M 'P m -3 m'
_symmetry_Int_Tables_number 221
_symmetry_space_group_name_Hall '-P 4 2 3'
_cell_length_a 4.9233
_cell_length_b 4.9233
_cell_length_c 4.9233
_cell_angle_alpha 90.00
_cell_angle_beta 90.00
_cell_angle_gamma 90.00
loop_
_atom_site_label
_atom_site_type_symbol
_atom_site_fract_x
_atom_site_fract_y
_atom_site_fract_z
_atom_site_occupancy
Sm1 Sm 0.0000 0.0000 0.5000 1
Hf1 Hf 0.5000 0.5000 0.5000 1
O1 O 0.0000 0.0000 0.0000 1

***

# 6
# ReNO4 | Alexandria via LeMat-Bulk | PBE | optimized geometry
# Raw formation energy   -0.8 eV/f.u.
# Crystal system   tetragonal
data_ReNO4
_symmetry_space_group_name_H-M 'I 41/a'
_symmetry_Int_Tables_number 88
_cell_length_a 4.7302
_cell_length_b 4.7302
_cell_length_c 17.5403
_cell_angle_alpha 90.00
_cell_angle_beta 90.00
_cell_angle_gamma 90.00
loop_
_symmetry_equiv_pos_as_xyz
'x,y,z'
'-x,-y,-z'
'-y+3/4,x+1/4,z+1/4'
'y+3/4,-x+1/4,-z+1/4'
'-x+1/2,-y,z+1/2'
'x+1/2,y,-z+1/2'
'y+3/4,-x+3/4,z+3/4'
'-y+3/4,x+3/4,-z+3/4'
'x+1/2,y+1/2,z+1/2'
'-x+1/2,-y+1/2,-z+1/2'
'-y+1/4,x+3/4,z+3/4'
'y+1/4,-x+3/4,-z+3/4'
'-x,-y+1/2,z'
'x,y+1/2,-z'
'y+1/4,-x+1/4,z+1/4'
'-y+1/4,x+1/4,-z+1/4'
loop_
_atom_site_label
_atom_site_type_symbol
_atom_site_fract_x
_atom_site_fract_y
_atom_site_fract_z
_atom_site_occupancy
Re1 Re 0.0000 0.2500 0.1250 1
N1 N 0.0000 0.2500 0.6250 1
O1 O 0.2174 0.0321 0.1816 1

***

# 7
# KTl2Cd | Alexandria via LeMat-Bulk | PBE | optimized geometry
# Crystal system   tetragonal
# Formation enthalpy at 0 K   0.0847 eV per atom
data_KTl2Cd
_symmetry_space_group_name_H-M 'I -4 2 d'
_symmetry_Int_Tables_number 122
_symmetry_space_group_name_Hall 'I -4 2bw'
_cell_length_a 5.5005
_cell_length_b 5.5005
_cell_length_c 21.4897
_cell_angle_alpha 90.00
_cell_angle_beta 90.00
_cell_angle_gamma 90.00
loop_
_atom_site_label
_atom_site_type_symbol
_atom_site_fract_x
_atom_site_fract_y
_atom_site_fract_z
_atom_site_occupancy
K1 K 0.0000 0.0000 0.0000 1
Tl1 Tl 0.1207 0.2500 0.6250 1
Cd1 Cd 0.0000 0.0000 0.5000 1

***

# 8
# CuPd5Au6 | Alexandria via LeMat-Bulk | PBE | optimized geometry
# Crystal system   monoclinic
# Formation enthalpy at 0 K   -0.0674 eV per atom
# Relative energy among the computed polymorphs   10 meV/atom
data_CuPd5Au6
_symmetry_space_group_name_H-M 'C 1 2/m 1'
_symmetry_Int_Tables_number 12
_symmetry_space_group_name_Hall '-C 2y'
_cell_length_a 4.5357
_cell_length_b 13.6442
_cell_length_c 6.4397
_cell_angle_alpha 90.00
_cell_angle_beta 90.12
_cell_angle_gamma 90.00
loop_
_atom_site_label
_atom_site_type_symbol
_atom_site_fract_x
_atom_site_fract_y
_atom_site_fract_z
_atom_site_occupancy
Cu1 Cu 0.0000 0.0000 0.0000 1
Pd1 Pd 0.0000 0.0000 0.5000 1
Pd2 Pd 0.0000 0.3303 0.0000 1
Pd3 Pd 0.0000 0.3328 0.5000 1
Au1 Au 0.0001 0.1627 0.2466 1
Au2 Au 0.9998 0.5000 0.2401 1

***

# 9
# Nd2Cu5Ni2Rh | Alexandria via LeMat-Bulk | PBE | optimized geometry
# Crystal system   tetragonal
# Formation enthalpy at 0 K   -0.1675 eV per atom
data_Nd2Cu5Ni2Rh
_symmetry_space_group_name_H-M 'P 4/m b m'
_symmetry_Int_Tables_number 127
_symmetry_space_group_name_Hall '-P 4 2ab'
_cell_length_a 8.9440
_cell_length_b 8.9440
_cell_length_c 3.9398
_cell_angle_alpha 90.00
_cell_angle_beta 90.00
_cell_angle_gamma 90.00
loop_
_atom_site_label
_atom_site_type_symbol
_atom_site_fract_x
_atom_site_fract_y
_atom_site_fract_z
_atom_site_occupancy
Nd1 Nd 0.1870 0.3130 0.0000 1
Cu1 Cu 0.0000 0.5000 0.5000 1
Cu2 Cu 0.0541 0.7957 0.5000 1
Ni1 Ni 0.1106 0.6106 0.0000 1
Rh1 Rh 0.0000 0.0000 0.0000 1

***

# 10
# Ti4TlS8 | Alexandria via LeMat-Bulk | PBE | optimized geometry
# Raw formation energy   -16.3 eV/f.u.
# Crystal system   trigonal
data_Ti4TlS8
_symmetry_space_group_name_H-M 'R -3 m'
_symmetry_Int_Tables_number 166
_symmetry_space_group_name_Hall '-R 3 2"'
_cell_length_a 6.8331
_cell_length_b 6.8331
_cell_length_c 23.6224
_cell_angle_alpha 90.00
_cell_angle_beta 90.00
_cell_angle_gamma 120.00
loop_
_atom_site_label
_atom_site_type_symbol
_atom_site_fract_x
_atom_site_fract_y
_atom_site_fract_z
_atom_site_occupancy
Ti1 Ti 0.0000 0.0000 0.0000 1
Ti2 Ti 0.0000 0.5000 0.0000 1
Tl1 Tl 0.0000 0.0000 0.5000 1
S1 S 0.0000 0.0000 0.2729 1
S2 S 0.0013 0.5006 0.7275 1

***

# 11
# ErInCu | Alexandria via LeMat-Bulk | PBE | optimized geometry
# Crystal system   orthorhombic
# Formation enthalpy at 0 K   -0.3971 eV per atom
data_ErInCu
_symmetry_space_group_name_H-M 'P m m a'
_symmetry_Int_Tables_number 51
_symmetry_space_group_name_Hall '-P 2a 2a'
_cell_length_a 12.9853
_cell_length_b 3.9073
_cell_length_c 7.4800
_cell_angle_alpha 90.00
_cell_angle_beta 90.00
_cell_angle_gamma 90.00
loop_
_atom_site_label
_atom_site_type_symbol
_atom_site_fract_x
_atom_site_fract_y
_atom_site_fract_z
_atom_site_occupancy
Er1 Er 0.0454 0.0000 0.2267 1
Er2 Er 0.2500 0.0000 0.8499 1
In1 In 0.1189 0.5000 0.5696 1
In2 In 0.2500 0.5000 0.1903 1
Cu1 Cu 0.0903 0.5000 0.9415 1
Cu2 Cu 0.2500 0.0000 0.4422 1

***

Table of D(E_F) (states/eV per atom), in record order: 0.684, 2.671, 1.035, 0.823, 0.989, 0.293, 0.315, 0.407, 0.330, 0.313, 0.478